(1)
La5Hg3 | PBEsol | relaxed

The structure belongs to space group Cmmm (No. 65); the cell edges are 7.698, 10.836 and 5.557 Å and the angles 90.00°, 90.00° and 90.00°. The asymmetric unit holds La at (0.000, 0.000, 0.000), La at (0.216, 0.500, 0.500), La at (0.250, 0.250, 0.000), Hg at (0.000, 0.226, 0.500) and Hg at (0.000, 0.500, 0.000).

The calculation puts the energy above the most stable polymorph in this dataset at 0.0388 eV/atom. The density of states at the Fermi level is 1.512 states/eV per atom. The calculation puts the energy of formation at -364 meV per atom.

(2)
Sc2NbHgC | PBEsol | relaxed

The structure belongs to space group P4/mmm (No. 123); the cell edges are 4.436, 4.436 and 4.339 Å and the angles 90.00°, 90.00° and 90.00°. The asymmetric unit holds Sc at (0.000, 0.500, 0.000), Nb at (0.000, 0.000, 0.500), Hg at (0.500, 0.500, 0.500) and C at (0.000, 0.000, 0.000).

The density of states at the Fermi level is 0.427 states/eV per atom. The calculation puts the energy of formation at -485 meV per atom.

(3)
Te2PtAu | PBEsol | relaxed

The structure belongs to space group I4/mmm (No. 139); the cell edges are 5.298, 5.298 and 5.916 Å and the angles 90.00°, 90.00° and 90.00°. The asymmetric unit holds Te at (0.000, 0.500, 0.250), Pt at (0.000, 0.000, 0.000) and Au at (0.000, 0.000, 0.500).

The value obtained for the formation energy from raw total energies is 1.025 eV/f.u. The density of states at the Fermi level is 0.459 states/eV per atom.

(4)
MnCu6O8 | PBEsol | relaxed

The structure belongs to space group Fm-3m (No. 225); the cell edges are 8.985, 8.985 and 8.985 Å and the angles 90.00°, 90.00° and 90.00°. The asymmetric unit holds Mn at (0.000, 0.000, 0.000), Cu at (0.000, 0.250, 0.250) and O at (0.138, 0.138, 0.138).

The value obtained for the formation energy from raw total energies is -10.825 eV/f.u. The density of states at the Fermi level is 0.340 states/eV per atom.

(5)
CaTcAs2 | PBEsol | relaxed

The structure belongs to space group Amm2 (No. 38); the cell edges are 4.436, 3.391 and 11.864 Å and the angles 90.00°, 90.00° and 90.00°. The asymmetric unit holds Ca at (0.000, 0.000, 0.000), Tc at (0.500, 0.000, 0.221), As at (0.000, 0.000, 0.288) and As at (0.500, 0.000, 0.577).

The calculation puts the energy above the most stable polymorph in this dataset at 0.1687 eV/atom. The density of states at the Fermi level is 0.459 states/eV per atom. The calculation puts the energy of formation at -278 meV per atom.

(6)
YIN2F | PBEsol | relaxed

The structure belongs to space group P4/mmm (No. 123); the cell edges are 4.241, 4.241 and 4.328 Å and the angles 90.00°, 90.00° and 90.00°. The asymmetric unit holds Y at (0.000, 0.000, 0.000), I at (0.500, 0.500, 0.500), N at (0.000, 0.500, 0.500) and F at (0.500, 0.500, 0.000).

The value obtained for the formation energy from raw total energies is 1.189 eV/f.u. The density of states at the Fermi level is 0.253 states/eV per atom.

(7)
LiY3In | PBEsol | relaxed

The structure belongs to space group Pm-3m (No. 221); the cell edges are 5.136, 5.136 and 5.136 Å and the angles 90.00°, 90.00° and 90.00°. The asymmetric unit holds Li at (0.000, 0.000, 0.000), Y at (0.000, 0.000, 0.500) and In at (0.500, 0.500, 0.500).

The calculation puts the energy above the most stable polymorph in this dataset at 0.0000 eV/atom. The density of states at the Fermi level is 1.324 states/eV per atom. The calculation puts the energy of formation at 303 meV per atom.

(8)
ZnMo2P | PBEsol | relaxed

The structure belongs to space group R3m (No. 160, hexagonal axes); the cell edges are 2.8680, 2.8680 and 25.0452 Å and the angles 90.00°, 90.00° and 120.00°. The asymmetric unit holds Zn at (0.0000, 0.0000, 0.0000), Mo at (0.0000, 0.0000, 0.5101), Mo at (0.0000, 0.0000, 0.7547) and P at (0.0000, 0.0000, 0.2477).

The density of states at the Fermi level is 0.779 states/eV per atom. The calculation puts the energy of formation at 117 meV per atom.

(9)
LiBe4Cu | PBEsol | relaxed

The structure belongs to space group F-43m (No. 216); the cell edges are 6.000, 6.000 and 6.000 Å and the angles 90.00°, 90.00° and 90.00°. The asymmetric unit holds Li at (0.000, 0.000, 0.000), Be at (0.124, 0.124, 0.376) and Cu at (0.250, 0.250, 0.750).

The density of states at the Fermi level is 0.206 states/eV per atom. The calculation puts the energy of formation at -71 meV per atom.

(10)
K2AlHg | PBEsol | relaxed

The structure belongs to space group P4/mmm (No. 123); the cell edges are 3.502, 3.502 and 10.371 Å and the angles 90.00°, 90.00° and 90.00°. The asymmetric unit holds K at (0.000, 0.000, 0.247), Al at (0.500, 0.500, 0.500) and Hg at (0.500, 0.500, 0.000).

The calculation puts the energy above the most stable polymorph in this dataset at 0.1702 eV/atom. The density of states at the Fermi level is 0.659 states/eV per atom. The calculation puts the energy of formation at 203 meV per atom.

(11)
NaNi2Ir | PBEsol | relaxed

The structure belongs to space group Fm-3m (No. 225); the cell edges are 5.933, 5.933 and 5.933 Å and the angles 90.00°, 90.00° and 90.00°. The asymmetric unit holds Na at (0.000, 0.000, 0.000), Ni at (0.250, 0.250, 0.250) and Ir at (0.000, 0.000, 0.500).

The density of states at the Fermi level is 1.401 states/eV per atom. The calculation puts the energy of formation at 546 meV per atom.

(12)
Y2MnCo | PBEsol | relaxed

The structure belongs to space group R3m (No. 160, hexagonal axes); the cell edges are 3.8410, 3.8410 and 20.4702 Å and the angles 90.00°, 90.00° and 120.00°. The asymmetric unit holds Y at (0.0000, 0.0000, 0.0000), Y at (0.0000, 0.0000, 0.1828), Mn at (0.0000, 0.0000, 0.7602) and Co at (0.0000, 0.0000, 0.4200).

The calculation puts the energy above the most stable polymorph in this dataset at 0.0000 eV/atom. The density of states at the Fermi level is 1.217 states/eV per atom. The calculation puts the energy of formation at -26 meV per atom.

Number 1: electronic total energy -3.92 eV/atom. Number 2: electronic total energy -7.33 eV/atom. Number 3: electronic total energy -4.23 eV/atom. Number 4: electronic total energy -5.91 eV/atom. Number 5: electronic total energy -6.18 eV/atom. Number 6: electronic total energy -5.28 eV/atom. Number 7: electronic total energy -4.78 eV/atom. Number 8: electronic total energy -7.61 eV/atom. Number 9: electronic total energy -3.79 eV/atom. Number 10: electronic total energy -1.53 eV/atom. Number 11: electronic total energy -5.34 eV/atom. Number 12: electronic total energy -7.81 eV/atom.